No. 1
! PBE with a Hubbard U CsFePdF6, optimized geometry; values from VASP
&SYSTEM
  ibrav = 0, nat = 9, ntyp = 4
/
ATOMIC_SPECIES
F 19.00 F.upf
Cs 132.91 Cs.upf
Pd 106.42 Pd.upf
Fe 55.84 Fe.upf
CELL_PARAMETERS angstrom
-1.279 0.659 -5.479
-5.394 0.686 -1.586
0.624 6.354 0.620
ATOMIC_POSITIONS crystal
F 0.394 0.637 0.327
F 0.637 0.969 0.327
F 0.637 0.394 0.673
F 0.395 0.968 0.673
F 0.969 0.637 0.673
F 0.968 0.395 0.327
Cs 0.000 0.000 0.000
Pd 0.333 0.333 0.500
Fe 0.667 0.667 0.500
! **Crystal system**: trigonal
! **Magnetization**: 0.336 μB per atom
! **SG**: P312 (149)


No. 2
! PBE with a Hubbard U CsPmFeF6, optimized geometry; values from VASP
&SYSTEM
  ibrav = 0, nat = 18, ntyp = 4
/
ATOMIC_SPECIES
F 19.00 F.upf
Pm 145.00 Pm.upf
Cs 132.91 Cs.upf
Fe 55.84 Fe.upf
CELL_PARAMETERS angstrom
-1.925 -2.891 7.169
-0.878 -6.937 -3.033
6.489 3.859 -1.128
ATOMIC_POSITIONS crystal
F 0.826 0.139 0.264
F 0.594 0.844 0.188
F 0.860 0.110 0.721
F 0.438 0.625 0.264
F 0.174 0.861 0.736
F 0.826 0.625 0.264
F 0.438 0.139 0.264
F 0.406 0.156 0.812
F 0.174 0.375 0.736
F 0.562 0.375 0.736
F 0.562 0.861 0.736
F 0.140 0.890 0.279
Pm 0.500 0.000 0.500
Pm 0.000 0.000 0.500
Cs 0.158 0.408 0.315
Cs 0.842 0.592 0.685
Fe 0.500 0.500 0.000
Fe 0.500 0.000 0.000
! **Crystal system**: orthorhombic
! **Magnetization**: 0.444 μB per atom
! **SG**: Imma (74)


No. 3
! PBE with a Hubbard U CsPuFeF6, optimized geometry; values from VASP
&SYSTEM
  ibrav = 0, nat = 18, ntyp = 4
/
ATOMIC_SPECIES
F 19.00 F.upf
Cs 132.91 Cs.upf
Fe 55.84 Fe.upf
Pu 244.00 Pu.upf
CELL_PARAMETERS angstrom
-0.660 7.627 0.448
-4.995 -0.797 6.211
6.940 -3.255 -0.002
ATOMIC_POSITIONS crystal
F 0.124 0.941 0.766
F 0.358 0.059 0.234
F 0.338 0.088 0.676
F 0.389 0.639 0.779
F 0.611 0.361 0.221
F 0.642 0.941 0.766
F 0.662 0.912 0.324
F 0.124 0.324 0.766
F 0.358 0.676 0.234
F 0.642 0.324 0.766
F 0.876 0.676 0.234
F 0.876 0.059 0.234
Cs 0.090 0.340 0.181
Cs 0.910 0.660 0.819
Fe 0.500 0.000 0.500
Fe 0.000 0.000 0.500
Pu 0.500 0.000 0.000
Pu 0.500 0.500 0.000
! **Crystal system**: orthorhombic
! **Magnetization**: 1.000 μB per atom
! **SG**: Imma (74)


No. 4
! PBE with a Hubbard U CsRb2FeF6, optimized geometry; values from VASP
&SYSTEM
  ibrav = 0, nat = 10, ntyp = 4
/
ATOMIC_SPECIES
F 19.00 F.upf
Rb 85.47 Rb.upf
Fe 55.84 Fe.upf
Cs 132.91 Cs.upf
CELL_PARAMETERS angstrom
-3.415 -3.268 4.614
-3.878 -5.061 -1.726
1.708 -6.172 1.621
ATOMIC_POSITIONS crystal
F 0.203 0.203 0.797
F 0.203 0.797 0.797
F 0.797 0.203 0.203
F 0.203 0.797 0.203
F 0.797 0.797 0.203
F 0.797 0.203 0.797
Rb 0.750 0.750 0.750
Rb 0.250 0.250 0.250
Fe 0.000 0.000 0.000
Cs 0.500 0.500 0.500
! **Crystal system**: cubic
! **Magnetization**: 0.100 μB per atom
! **SG**: Fm-3m (225)


No. 5
! PBE with a Hubbard U Cs2RbFe2F7, optimized geometry; values from VASP
&SYSTEM
  ibrav = 0, nat = 12, ntyp = 4
/
ATOMIC_SPECIES
F 19.00 F.upf
Rb 85.47 Rb.upf
Fe 55.84 Fe.upf
Cs 132.91 Cs.upf
CELL_PARAMETERS angstrom
4.357 -0.003 0.012
0.003 4.357 0.012
2.152 2.149 11.480
ATOMIC_POSITIONS crystal
F 0.089 0.589 0.822
F 0.500 0.500 0.000
F 0.411 0.911 0.178
F 0.589 0.089 0.822
F 0.321 0.321 0.358
F 0.679 0.679 0.642
F 0.911 0.411 0.178
Rb 0.000 0.000 0.000
Fe 0.410 0.410 0.180
Fe 0.590 0.590 0.820
Cs 0.817 0.817 0.365
Cs 0.183 0.183 0.635
! **Crystal system**: tetragonal
! **Magnetization**: 0.667 μB per atom
! **SG**: I4/mmm (139)


No. 6
! PBE with a Hubbard U CsRbFeF6, optimized geometry; values from VASP
&SYSTEM
  ibrav = 0, nat = 18, ntyp = 4
/
ATOMIC_SPECIES
F 19.00 F.upf
Cs 132.91 Cs.upf
Rb 85.47 Rb.upf
Fe 55.84 Fe.upf
CELL_PARAMETERS angstrom
-3.391 4.558 0.934
-1.196 -1.971 5.275
9.169 5.941 4.299
ATOMIC_POSITIONS crystal
F 0.662 0.662 0.722
F 0.656 0.656 0.948
F 0.344 0.344 0.948
F 0.278 0.722 0.831
F 0.838 0.162 0.222
F 0.338 0.338 0.722
F 0.844 0.156 0.448
F 0.222 0.222 0.331
F 0.156 0.844 0.448
F 0.778 0.778 0.331
F 0.162 0.838 0.222
F 0.722 0.278 0.831
Cs 0.500 0.500 0.497
Cs 0.000 0.000 0.997
Rb 0.000 0.000 0.669
Rb 0.500 0.500 0.169
Fe 0.500 0.500 0.833
Fe 0.000 0.000 0.333
! **Crystal system**: tetragonal
! **Magnetization**: 0.222 μB per atom
! **SG**: P4_2nm (102)


No. 7
! PBE with a Hubbard U Cs2FeSF6, optimized geometry; values from VASP
&SYSTEM
  ibrav = 0, nat = 10, ntyp = 4
/
ATOMIC_SPECIES
F 19.00 F.upf
Fe 55.84 Fe.upf
Cs 132.91 Cs.upf
S 32.06 S.upf
CELL_PARAMETERS angstrom
-2.158 -3.736 -4.004
-0.717 -4.074 4.187
-6.521 -2.010 1.064
ATOMIC_POSITIONS crystal
F 0.824 0.824 0.352
F 0.267 0.267 0.000
F 0.733 0.733 0.000
F 0.733 0.267 0.000
F 0.267 0.733 0.000
F 0.176 0.176 0.648
Fe 0.000 0.000 0.000
Cs 0.250 0.750 0.500
Cs 0.750 0.250 0.500
S 0.500 0.500 0.000
! **Crystal system**: tetragonal
! **Magnetization**: 0.400 μB per atom
! **SG**: I4/mmm (139)


No. 8
! PBE with a Hubbard U Cs2FeSiF6, optimized geometry; values from VASP
&SYSTEM
  ibrav = 0, nat = 10, ntyp = 4
/
ATOMIC_SPECIES
Cs 132.91 Cs.upf
F 19.00 F.upf
Si 28.09 Si.upf
Fe 55.84 Fe.upf
CELL_PARAMETERS angstrom
6.090 0.000 0.000
0.000 6.090 0.000
3.045 3.045 4.850
ATOMIC_POSITIONS crystal
Cs 0.750 0.250 0.500
Cs 0.250 0.750 0.500
F 0.738 0.262 0.000
F 0.738 0.738 0.000
F 0.204 0.204 0.592
F 0.262 0.262 0.000
F 0.796 0.796 0.408
F 0.262 0.738 0.000
Si 0.500 0.500 0.000
Fe 0.000 0.000 0.000
! **Crystal system**: tetragonal
! **Magnetization**: 0.400 μB per atom
! **SG**: I4/mmm (139)


No. 9
! PBE with a Hubbard U CsFeSn2F8, optimized geometry; values from VASP
&SYSTEM
  ibrav = 0, nat = 12, ntyp = 4
/
ATOMIC_SPECIES
F 19.00 F.upf
Fe 55.84 Fe.upf
Sn 118.71 Sn.upf
Cs 132.91 Cs.upf
CELL_PARAMETERS angstrom
5.411 0.127 0.286
0.165 5.149 0.080
0.474 0.145 8.353
ATOMIC_POSITIONS crystal
F 0.200 0.824 0.157
F 0.592 0.719 0.407
F 0.871 0.241 0.171
F 0.274 0.237 0.935
F 0.800 0.176 0.843
F 0.129 0.759 0.829
F 0.726 0.763 0.065
F 0.408 0.281 0.593
Fe 0.000 0.000 0.000
Sn 0.497 0.497 0.779
Sn 0.503 0.503 0.221
Cs 0.000 0.000 0.500
! **Crystal system**: triclinic
! **Magnetization**: 0.415 μB per atom
! **SG**: P-1 (2)


No. 10
! PBE with a Hubbard U CsSrFeF6, optimized geometry; values from VASP
&SYSTEM
  ibrav = 0, nat = 18, ntyp = 4
/
ATOMIC_SPECIES
F 19.00 F.upf
Cs 132.91 Cs.upf
Sr 87.62 Sr.upf
Fe 55.84 Fe.upf
CELL_PARAMETERS angstrom
-7.471 2.912 -1.719
0.479 -2.996 -7.153
1.348 -4.443 6.171
ATOMIC_POSITIONS crystal
F 0.796 0.608 0.259
F 0.547 0.797 0.094
F 0.462 0.151 0.259
F 0.462 0.608 0.259
F 0.538 0.849 0.741
F 0.538 0.392 0.741
F 0.864 0.114 0.727
F 0.136 0.886 0.273
F 0.453 0.203 0.906
F 0.204 0.849 0.741
F 0.204 0.392 0.741
F 0.796 0.151 0.259
Cs 0.851 0.601 0.702
Cs 0.149 0.399 0.298
Sr 0.000 0.000 0.500
Sr 0.500 0.000 0.500
Fe 0.500 0.500 0.000
Fe 0.500 0.000 0.000
! **Crystal system**: orthorhombic
! **Magnetization**: 0.556 μB per atom
! **SG**: Imma (74)


No. 11
! PBE with a Hubbard U Cs2TiFeF, optimized geometry; values from VASP
&SYSTEM
  ibrav = 0, nat = 5, ntyp = 4
/
ATOMIC_SPECIES
Ti 47.87 Ti.upf
Cs 132.91 Cs.upf
F 19.00 F.upf
Fe 55.84 Fe.upf
CELL_PARAMETERS angstrom
7.516 0.000 0.000
0.000 3.972 0.000
0.000 0.000 7.516
ATOMIC_POSITIONS crystal
Ti 0.000 0.000 0.000
Cs 0.500 0.000 0.000
Cs 0.000 0.000 0.500
F 0.000 0.500 0.000
Fe 0.500 0.500 0.500
! **Crystal system**: tetragonal
! **Magnetization**: 1.100 μB per atom
! **SG**: P4/mmm (123)


No. 12
! PBE with a Hubbard U CsTiFeF6, optimized geometry; values from VASP
&SYSTEM
  ibrav = 0, nat = 18, ntyp = 4
/
ATOMIC_SPECIES
Cs 132.91 Cs.upf
F 19.00 F.upf
Ti 47.87 Ti.upf
Fe 55.84 Fe.upf
CELL_PARAMETERS angstrom
7.441 0.000 0.000
0.000 7.712 0.000
-3.720 -3.856 5.384
ATOMIC_POSITIONS crystal
Cs 0.879 0.629 0.757
Cs 0.121 0.371 0.243
F 0.435 0.082 0.249
F 0.565 0.918 0.751
F 0.186 0.333 0.751
F 0.814 0.082 0.249
F 0.175 0.925 0.350
F 0.825 0.075 0.650
F 0.186 0.918 0.751
F 0.452 0.702 0.903
F 0.548 0.298 0.097
F 0.565 0.333 0.751
F 0.814 0.667 0.249
F 0.435 0.667 0.249
Ti 0.500 0.500 0.000
Ti 0.500 0.000 0.000
Fe 0.000 0.000 0.500
Fe 0.500 0.000 0.500
! **Crystal system**: orthorhombic
! **Magnetization**: 0.556 μB per atom
! **SG**: Imma (74)


No. 13
! PBE with a Hubbard U CsTlFeF4, optimized geometry; values from VASP
&SYSTEM
  ibrav = 0, nat = 14, ntyp = 4
/
ATOMIC_SPECIES
F 19.00 F.upf
Tl 204.38 Tl.upf
Cs 132.91 Cs.upf
Fe 55.84 Fe.upf
CELL_PARAMETERS angstrom
5.522 0.000 -0.595
0.000 6.654 0.000
-2.849 0.000 8.768
ATOMIC_POSITIONS crystal
F 0.713 0.250 0.490
F 0.976 0.518 0.773
F 0.580 0.250 0.838
F 0.024 0.482 0.227
F 0.420 0.750 0.162
F 0.287 0.750 0.510
F 0.024 0.018 0.227
F 0.976 0.982 0.773
Tl 0.186 0.250 0.475
Tl 0.814 0.750 0.525
Cs 0.439 0.250 0.116
Cs 0.561 0.750 0.884
Fe 0.814 0.250 0.727
Fe 0.186 0.750 0.273
! **Crystal system**: monoclinic
! **Magnetization**: 0.571 μB per atom
! **SG**: P2_1/m (11)


No. 14
! PBE with a Hubbard U Cs3TlFe2F8, optimized geometry; values from VASP
&SYSTEM
  ibrav = 0, nat = 14, ntyp = 4
/
ATOMIC_SPECIES
Fe 55.84 Fe.upf
Cs 132.91 Cs.upf
F 19.00 F.upf
Tl 204.38 Tl.upf
CELL_PARAMETERS angstrom
-0.151 2.787 6.043
1.840 -6.360 -0.687
8.203 2.475 -0.937
ATOMIC_POSITIONS crystal
Fe 0.667 0.333 0.804
Fe 0.333 0.667 0.196
Cs 0.333 0.667 0.651
Cs 0.667 0.333 0.349
Cs 0.000 0.000 0.000
F 0.645 0.823 0.294
F 0.355 0.177 0.706
F 0.823 0.645 0.706
F 0.177 0.823 0.294
F 0.333 0.667 0.972
F 0.823 0.177 0.706
F 0.177 0.355 0.294
F 0.667 0.333 0.028
Tl 0.000 0.000 0.500
! **Crystal system**: trigonal
! **Magnetization**: 0.571 μB per atom
! **SG**: P-3m1 (164)


No. 15
! PBE with a Hubbard U CsTl2FeF6, optimized geometry; values from VASP
&SYSTEM
  ibrav = 0, nat = 20, ntyp = 4
/
ATOMIC_SPECIES
Tl 204.38 Tl.upf
Fe 55.84 Fe.upf
F 19.00 F.upf
Cs 132.91 Cs.upf
CELL_PARAMETERS angstrom
-4.059 -2.888 -3.724
-2.666 -3.529 5.644
-6.118 6.799 1.360
ATOMIC_POSITIONS crystal
Tl 0.992 0.030 0.730
Tl 0.492 0.470 0.230
Tl 0.008 0.970 0.270
Tl 0.508 0.530 0.770
Fe 0.500 0.000 0.500
Fe 0.000 0.500 0.000
F 0.775 0.860 0.508
F 0.587 0.099 0.310
F 0.851 0.710 0.905
F 0.413 0.901 0.690
F 0.087 0.401 0.810
F 0.725 0.360 0.992
F 0.149 0.290 0.095
F 0.649 0.210 0.595
F 0.913 0.599 0.190
F 0.275 0.640 0.008
F 0.351 0.790 0.405
F 0.225 0.140 0.492
Cs 0.000 0.500 0.500
Cs 0.500 0.000 0.000
! **Crystal system**: monoclinic
! **Magnetization**: 0.496 μB per atom
! **SG**: P2_1/c (14)


No. 16
! PBE with a Hubbard U CsFe2WF8, optimized geometry; values from VASP
&SYSTEM
  ibrav = 0, nat = 12, ntyp = 4
/
ATOMIC_SPECIES
Fe 55.84 Fe.upf
F 19.00 F.upf
W 183.84 W.upf
Cs 132.91 Cs.upf
CELL_PARAMETERS angstrom
-1.793 3.737 -3.738
-4.288 3.352 1.240
3.207 7.928 2.221
ATOMIC_POSITIONS crystal
Fe 0.257 0.257 0.229
Fe 0.743 0.743 0.771
F 0.635 0.258 0.147
F 0.959 0.635 0.147
F 0.180 0.180 0.460
F 0.820 0.820 0.540
F 0.258 0.959 0.147
F 0.365 0.742 0.853
F 0.742 0.041 0.853
F 0.041 0.365 0.853
W 0.000 0.000 0.000
Cs 0.500 0.500 0.500
! **Crystal system**: trigonal
! **Magnetization**: 0.917 μB per atom
! **SG**: R-3 (148)


No. 17
! PBE with a Hubbard U CsYFeF6, optimized geometry; values from VASP
&SYSTEM
  ibrav = 0, nat = 9, ntyp = 4
/
ATOMIC_SPECIES
F 19.00 F.upf
Fe 55.84 Fe.upf
Y 88.91 Y.upf
Cs 132.91 Cs.upf
CELL_PARAMETERS angstrom
5.885 0.033 0.010
2.971 5.089 -0.013
0.010 -0.024 6.391
ATOMIC_POSITIONS crystal
F 0.613 0.395 0.688
F 0.992 0.617 0.686
F 0.984 0.396 0.324
F 0.396 0.985 0.677
F 0.395 0.612 0.312
F 0.616 0.992 0.314
Fe 0.665 0.666 0.500
Y 0.336 0.336 0.500
Cs 0.001 0.001 0.000
! **Crystal system**: triclinic
! **Magnetization**: 0.444 μB per atom
! **SG**: P1 (1)


| no. | energy (eV/cell) |
| --- | --- |
| 1 | -42.12 |
| 2 | -103.37 |
| 3 | -118.93 |
| 4 | -42.76 |
| 5 | -58.68 |
| 6 | -79.38 |
| 7 | -44.25 |
| 8 | -47.93 |
| 9 | -58.70 |
| 10 | -94.14 |
| 11 | -16.72 |
| 12 | -104.79 |
| 13 | -64.82 |
| 14 | -63.19 |
| 15 | -91.11 |
| 16 | -61.76 |
| 17 | -53.54 |